Computed, not measured: a geometry-optimized Nd4TmGa4 structure at the PBE-GGA level of DFT.

Fermi-level density of states = 16.607 states/eV per cell

abc: 4.762 10.317 10.317
angles: 90.00 90.00 90.00
Positions (direct):
Tm 0.500 0.500 0.500
Tm 0.000 0.000 0.000
Ga 0.500 0.834 0.930
Ga 0.000 0.334 0.430
Ga 0.500 0.930 0.166
Ga 0.500 0.166 0.070
Ga 0.000 0.570 0.334
Ga 0.000 0.666 0.570
Ga 0.500 0.070 0.834
Ga 0.000 0.430 0.666
Nd 0.500 0.367 0.853
Nd 0.500 0.147 0.367
Nd 0.000 0.647 0.867
Nd 0.000 0.133 0.647
Nd 0.000 0.353 0.133
Nd 0.500 0.633 0.147
Nd 0.500 0.853 0.633
Nd 0.000 0.867 0.353

=====

Computed, not measured: a geometry-optimized BaLi2In8 structure at the PBE-GGA level of DFT.

Fermi-level density of states = 6.340 states/eV per cell

abc: 6.293 6.293 9.238
angles: 90.00 90.00 90.00
Positions (direct):
In 0.248 0.248 0.184
In 0.752 0.752 0.816
In 0.752 0.248 0.816
In 0.752 0.752 0.184
In 0.248 0.752 0.816
In 0.248 0.248 0.816
In 0.752 0.248 0.184
In 0.248 0.752 0.184
Li 0.000 0.500 0.000
Li 0.500 0.000 0.000
Ba 0.500 0.500 0.500

=====

| no. | calculated formation energy (eV/atom) | magnetic moment (μB/f.u.) | final energy (eV per cell) |
| --- | --- | --- | --- |
| 1 | -0.385 | 0.00 | -78.2 |
| 2 | 0.016 | 0.00 | -27.5 |